Entry 1:
## CaAs2RhO8 (PBE)

Data for CaAs2RhO8 after structural relaxation.

As for the crystal system: trigonal. The size of the total moment is 1.06 μB/f.u. The energy is -73.6 eV/f.u. The density of states at the Fermi level is 0.39 states/eV per atom. The energy relative to the elements, uncorrected comes out at -1.272 eV per atom.

The structure belongs to space group P-3m1 (No. 164); the cell edges are 5.4785, 5.4785 and 6.6930 Å and the angles 90.00°, 90.00° and 120.00°. Symmetry generates all atoms from Ca at (0.0000, 0.0000, 0.0000), As at (0.3333, 0.6667, 0.2323), Rh at (0.0000, 0.0000, 0.5000), O at (0.1567, 0.3135, 0.2992) and O at (0.3333, 0.6667, 0.9820).

Entry 2:
## CaAsRuO6 (PBE)

Data for CaAsRuO6 after structural relaxation.

As for the crystal system: trigonal. The size of the total moment is 2.95 μB/f.u. The energy is -59.9 eV/f.u. The density of states at the Fermi level is 0.25 states/eV per atom. The energy relative to the elements, uncorrected comes out at -1.580 eV per atom.

The structure belongs to space group P-31c (No. 163); the cell edges are 5.0897, 5.0897 and 10.1488 Å and the angles 90.00°, 90.00° and 120.00°. Symmetry generates all atoms from Ca at (0.0000, 0.0000, 0.0000), As at (0.3333, 0.6667, 0.2500), Ru at (0.3333, 0.6667, 0.7500) and O at (0.0153, 0.3785, 0.1462).

Entry 3:
## Ca2AsRuO6 (PBE)

Data for Ca2AsRuO6 after structural relaxation.

As for the crystal system: tetragonal. The size of the total moment is 1.55 μB/f.u. The energy is -65.0 eV/f.u. The density of states at the Fermi level is 0.35 states/eV per atom. The energy relative to the elements, uncorrected comes out at -1.730 eV per atom.

The structure belongs to space group P4mm (No. 99); the cell edges are 5.427, 5.427 and 4.174 Å and the angles 90.00°, 90.00° and 90.00°. Symmetry generates all atoms from Ca at (0.000, 0.500, 0.000), As at (0.000, 0.000, 0.546), Ru at (0.500, 0.500, 0.574), O at (0.000, 0.000, 0.129), O at (0.237, 0.237, 0.646) and O at (0.500, 0.500, 0.091).

Entry 4:
## Ca4SbAsO (PBE)

Data for Ca4SbAsO after structural relaxation.

As for the crystal system: tetragonal. The size of the total moment is 0.00 μB/f.u. The energy is -33.5 eV/f.u. The energy relative to the elements, uncorrected comes out at -1.675 eV per atom.

The structure belongs to space group I4mm (No. 107); the cell edges are 4.623, 4.623 and 16.229 Å and the angles 90.00°, 90.00° and 90.00°. Symmetry generates all atoms from Ca at (0.000, 0.000, 0.000), Ca at (0.000, 0.000, 0.347), Ca at (0.000, 0.500, 0.188), Sb at (0.000, 0.000, 0.543), As at (0.000, 0.000, 0.818) and O at (0.000, 0.000, 0.201).

Entry 5:
## CaSbAsO5 (PBE)

Data for CaSbAsO5 after structural relaxation.

As for the crystal system: orthorhombic. The size of the total moment is 0.00 μB/f.u. The energy is -49.7 eV/f.u. The density of states at the Fermi level is 0.00 states/eV per atom. The energy relative to the elements, uncorrected comes out at -1.766 eV per atom.

The structure belongs to space group P2_12_12_1 (No. 19); the cell edges are 7.361, 7.917 and 8.579 Å and the angles 90.00°, 90.00° and 90.00°. Symmetry generates all atoms from Ca at (0.008, 0.144, 0.103), Sb at (0.207, 0.245, 0.450), As at (0.040, 0.420, 0.796), O at (0.038, 0.350, 0.307), O at (0.063, 0.608, 0.901), O at (0.115, 0.452, 0.607), O at (0.171, 0.275, 0.892) and O at (0.188, 0.878, 0.703).

Entry 6:
## CaSbAsO6 (PBE)

Data for CaSbAsO6 after structural relaxation.

As for the crystal system: trigonal. The size of the total moment is 0.00 μB/f.u. The energy is -56.9 eV/f.u. The density of states at the Fermi level is 0.00 states/eV per atom. The energy relative to the elements, uncorrected comes out at -1.822 eV per atom.

The structure belongs to space group P-31c (No. 163); the cell edges are 5.1272, 5.1272 and 10.2122 Å and the angles 90.00°, 90.00° and 120.00°. Symmetry generates all atoms from Ca at (0.0000, 0.0000, 0.0000), Sb at (0.3333, 0.6667, 0.2500), As at (0.3333, 0.6667, 0.7500) and O at (0.0201, 0.3827, 0.6446).